DFT (PBE) results for a relaxed Pr8NdRh2 crystal.

Values from the calculation:
ΔH_f (0 K) = -0.18 eV/atom
calculated total energy = -5.424 eV/atom
space-group type = C2/m (12)
volume = 357 Å³/cell

Cell and atoms, written as POSCAR:
```
Pr8NdRh2
1.0
4.435 -7.048 0.000
4.435 7.048 0.000
-1.185 0.000 5.708
Pr Nd Rh
8 1 2
Cartesian
-0.076 0.000 4.544
2.098 1.797 2.439
4.435 3.599 0.000
2.098 -1.797 2.439
5.587 1.797 3.269
4.435 -3.599 0.000
5.587 -1.797 3.269
7.760 0.000 1.164
4.435 0.000 0.000
3.842 4.188 2.854
3.842 -4.188 2.854
```